[1]
This record from Alexandria describes crystalline Na3PdF6 at its relaxed geometry. The functional is PBE.

Results
As for the space group: Fm-3m, No. 225. The value obtained for the distance to the lowest polymorph of the same formula is 116 meV per atom. As for the total energy: -4.12 eV per atom.

a b c (Å): 5.9574 5.9574 5.9574
angles (deg): 60.00 60.00 60.00
Positions (direct):
F 0.2417 0.7583 0.2417
F 0.7583 0.2417 0.2417
F 0.2417 0.7583 0.7583
F 0.7583 0.7583 0.2417
F 0.2417 0.2417 0.7583
F 0.7583 0.2417 0.7583
Na 0.7500 0.7500 0.7500
Na 0.5000 0.5000 0.5000
Na 0.2500 0.2500 0.2500
Pd 0.0000 0.0000 0.0000



[2]
This record from Alexandria describes crystalline NaPd2F4 at its relaxed geometry. The functional is PBE.

Results
As for the space group: P-1, No. 2. The value obtained for the distance to the lowest polymorph of the same formula is 0 meV per atom. As for the total energy: -4.19 eV per atom.

a b c (Å): 5.6887 4.2212 6.7649
angles (deg): 85.15 38.35 84.40
Positions (direct):
F 0.7201 0.4781 0.0190
F 0.2799 0.5219 0.9810
F 0.7820 0.0199 0.4790
F 0.2180 0.9801 0.5210
Na 0.5000 0.0000 0.0000
Pd 0.7616 0.5225 0.4787
Pd 0.2384 0.4775 0.5213



[3]
This record from Alexandria describes crystalline Na2PdF6 at its relaxed geometry. The functional is PBE.

Results
As for the space group: P2_1/c, No. 14. As for the total energy: -4.15 eV per atom.

a b c (Å): 5.6415 5.8396 8.2070
angles (deg): 90.00 95.73 90.00
Positions (direct):
F 0.1497 0.2572 0.3980
F 0.1596 0.0922 0.7110
F 0.3404 0.5922 0.7890
F 0.8503 0.7428 0.6020
F 0.2766 0.8187 0.4524
F 0.8404 0.9078 0.2890
F 0.7766 0.6813 0.9524
F 0.7234 0.1813 0.5476
F 0.6497 0.2428 0.8980
F 0.6596 0.4078 0.2110
F 0.2234 0.3187 0.0476
F 0.3503 0.7572 0.1020
Pd 0.5000 0.5000 0.0000
Pd 0.0000 0.0000 0.5000
Na 0.5380 0.9282 0.7305
Na 0.0380 0.5718 0.2305
Na 0.4620 0.0718 0.2695
Na 0.9620 0.4282 0.7695



[4]
This record from Alexandria describes crystalline NaPd2F at its relaxed geometry. The functional is PBE.

Results
As for the space group: I-42d, No. 122. The value obtained for the distance to the lowest polymorph of the same formula is 0 meV per atom. As for the total energy: -3.94 eV per atom.

a b c (Å): 3.5479 3.5479 12.4997
angles (deg): 81.84 81.84 90.00
Positions (direct):
Pd 0.3750 0.3749 0.7500
Pd 0.1249 0.6250 0.2500
Pd 0.8750 0.8751 0.7500
Pd 0.6251 0.1250 0.2500
F 0.5000 0.5000 0.0000
F 0.2500 0.7500 0.5000
Na 0.0000 0.0000 0.0000
Na 0.7500 0.2500 0.5000



[5]
This record from Alexandria describes crystalline NaPdF4 at its relaxed geometry. The functional is PBE.

Results
As for the space group: Fddd, No. 70. As for the total energy: -4.07 eV per atom.

a b c (Å): 5.5730 5.5720 6.3433
angles (deg): 110.44 110.45 101.82
Positions (direct):
Pd 0.1248 0.8749 0.7497
Pd 0.8752 0.1251 0.2503
Na 0.3749 0.6249 0.2499
Na 0.6251 0.3751 0.7501
F 0.7789 0.5536 0.4980
F 0.2211 0.4464 0.5020
F 0.9446 0.2195 0.9987
F 0.4459 0.2208 0.0013
F 0.7809 0.0556 0.5020
F 0.0554 0.7805 0.0013
F 0.2191 0.9444 0.4980
F 0.5541 0.7792 0.9987



[6]
This record from Alexandria describes crystalline Na3PdF at its relaxed geometry. The functional is PBE.

Results
As for the space group: Pm-3m, No. 221. The value obtained for the distance to the lowest polymorph of the same formula is 539 meV per atom. As for the total energy: -2.70 eV per atom.

a b c (Å): 5.3996 5.3996 5.3996
angles (deg): 90.00 90.00 90.00
Positions (direct):
Na 0.0000 0.0000 0.5000
Na 0.0000 0.5000 0.0000
Na 0.5000 0.0000 0.0000
F 0.5000 0.5000 0.5000
Pd 0.0000 0.0000 0.0000



[7]
This record from Alexandria describes crystalline Na3PdF8 at its relaxed geometry. The functional is PBE.

Results
As for the space group: Pm-3m, No. 221. The value obtained for the distance to the lowest polymorph of the same formula is 7 meV per atom. As for the total energy: -3.81 eV per atom.

a b c (Å): 5.3323 5.3323 5.3323
angles (deg): 90.00 90.00 90.00
Positions (direct):
F 0.7732 0.7732 0.2268
F 0.2268 0.7732 0.7732
F 0.2268 0.2268 0.2268
F 0.7732 0.7732 0.7732
F 0.2268 0.2268 0.7732
F 0.7732 0.2268 0.7732
F 0.7732 0.2268 0.2268
F 0.2268 0.7732 0.2268
Na 0.5000 0.0000 0.5000
Na 0.5000 0.5000 0.0000
Na 0.0000 0.5000 0.5000
Pd 0.0000 0.0000 0.0000



[8]
This record from Alexandria describes crystalline Na3PdF8 at its relaxed geometry. The functional is PBE.

Results
As for the space group: I4/mmm, No. 139. The value obtained for the distance to the lowest polymorph of the same formula is 0 meV per atom. As for the total energy: -3.82 eV per atom.

a b c (Å): 5.3702 5.3702 6.4940
angles (deg): 114.42 114.42 90.00
Positions (direct):
F 0.6602 0.1101 0.7704
F 0.1101 0.1101 0.7704
F 0.6602 0.6602 0.7704
F 0.1101 0.6602 0.7704
F 0.3398 0.3398 0.2296
F 0.8899 0.8899 0.2296
F 0.8899 0.3398 0.2296
F 0.3398 0.8899 0.2296
Na 0.7500 0.2500 0.5000
Na 0.2500 0.7500 0.5000
Na 0.5000 0.5000 0.0000
Pd 0.0000 0.0000 0.0000



[9]
This record from Alexandria describes crystalline Na6PdF12 at its relaxed geometry. The functional is PBE.

Results
As for the space group: R-3, No. 148. As for the total energy: -3.97 eV per atom.

a b c (Å): 6.5362 6.5362 6.5362
angles (deg): 98.39 98.39 98.39
Positions (direct):
Na 0.3887 0.7133 0.8472
Na 0.8472 0.3887 0.7133
Na 0.2867 0.1528 0.6113
Na 0.6113 0.2867 0.1528
Na 0.7133 0.8472 0.3887
Na 0.1528 0.6113 0.2867
F 0.1596 0.4621 0.5820
F 0.0544 0.9757 0.2977
F 0.4180 0.8404 0.5379
F 0.9757 0.2977 0.0544
F 0.5379 0.4180 0.8404
F 0.7023 0.9456 0.0243
F 0.2977 0.0544 0.9757
F 0.9456 0.0243 0.7023
F 0.8404 0.5379 0.4180
F 0.5820 0.1596 0.4621
F 0.0243 0.7023 0.9456
F 0.4621 0.5820 0.1596
Pd 0.0000 0.0000 0.0000



[10]
This record from Alexandria describes crystalline Na3PdF6 at its relaxed geometry. The functional is PBE.

Results
As for the space group: C2/m, No. 12. The value obtained for the distance to the lowest polymorph of the same formula is 17 meV per atom. As for the total energy: -4.22 eV per atom.

a b c (Å): 5.6852 5.7895 5.7895
angles (deg): 60.06 62.74 62.74
Positions (direct):
Pd 0.5000 0.5000 0.5000
Na 0.0000 0.0000 0.0000
Na 0.2825 0.2460 0.2460
Na 0.7175 0.7540 0.7540
F 0.6512 0.3381 0.8170
F 0.3488 0.1830 0.6619
F 0.6512 0.8170 0.3381
F 0.3488 0.6619 0.1830
F 0.1235 0.7400 0.7400
F 0.8765 0.2600 0.2600



[11]
This record from Alexandria describes crystalline NaPdF3 at its relaxed geometry. The functional is PBE.

Results
As for the space group: R-3, No. 148. As for the total energy: -4.18 eV per atom.

a b c (Å): 5.7227 5.7238 6.1247
angles (deg): 62.14 62.15 59.99
Positions (direct):
F 0.0506 0.7689 0.7392
F 0.4415 0.0506 0.7391
F 0.5585 0.9494 0.2609
F 0.7688 0.4416 0.7392
F 0.9494 0.2311 0.2608
F 0.2312 0.5584 0.2608
Pd 0.8425 0.8424 0.4727
Pd 0.1575 0.1576 0.5273
Na 0.6415 0.6415 0.0754
Na 0.3585 0.3585 0.9246



[12]
This record from Alexandria describes crystalline NaPdF3 at its relaxed geometry. The functional is PBE.

Results
As for the space group: P2_1/m, No. 11. As for the total energy: -4.26 eV per atom.

a b c (Å): 3.6644 6.5612 6.5813
angles (deg): 90.00 90.00 109.11
Positions (direct):
F 0.6723 0.9936 0.7500
F 0.8584 0.6800 0.5225
F 0.8584 0.6800 0.9775
F 0.3277 0.0064 0.2500
F 0.1416 0.3200 0.4775
F 0.1416 0.3200 0.0225
Na 0.7132 0.4297 0.2500
Na 0.2868 0.5703 0.7500
Pd 0.0000 0.0000 0.0000
Pd 0.0000 0.0000 0.5000



[13]
This record from Alexandria describes crystalline Na2PdF at its relaxed geometry. The functional is PBE.

Results
As for the space group: I-42d, No. 122. The value obtained for the distance to the lowest polymorph of the same formula is 0 meV per atom. As for the total energy: -3.44 eV per atom.

a b c (Å): 6.5768 6.5768 5.9961
angles (deg): 56.74 56.74 90.00
Positions (direct):
Na 0.2166 0.6250 0.2500
Na 0.3750 0.4666 0.7500
Na 0.8750 0.7834 0.7500
Na 0.5334 0.1250 0.2500
F 0.2500 0.7500 0.5000
F 0.5000 0.5000 0.0000
Pd 0.0000 0.0000 0.0000
Pd 0.7500 0.2500 0.5000



[14]
This record from Alexandria describes crystalline NaPdF5 at its relaxed geometry. The functional is PBE.

Results
As for the space group: C2/c, No. 15. As for the total energy: -3.96 eV per atom.

a b c (Å): 5.5899 5.5899 7.6599
angles (deg): 71.99 71.99 73.14
Positions (direct):
F 0.7163 0.8279 0.6194
F 0.2438 0.6758 0.4799
F 0.9121 0.0879 0.2500
F 0.1721 0.2837 0.8806
F 0.7562 0.3242 0.5201
F 0.3242 0.7562 0.0201
F 0.8279 0.7163 0.1194
F 0.6758 0.2438 0.9799
F 0.2837 0.1721 0.3806
F 0.0879 0.9121 0.7500
Na 0.4740 0.5260 0.7500
Na 0.5260 0.4740 0.2500
Pd 0.0000 0.0000 0.0000
Pd 0.0000 0.0000 0.5000



[15]
This record from Alexandria describes crystalline Na2Pd2F7 at its relaxed geometry. The functional is PBE.

Results
As for the space group: C2/m, No. 12. The value obtained for the distance to the lowest polymorph of the same formula is 6 meV per atom. As for the total energy: -4.14 eV per atom.

a b c (Å): 4.5348 7.0938 7.0938
angles (deg): 119.39 106.73 106.73
Positions (direct):
F 0.8351 0.3830 0.0628
F 0.1649 0.6170 0.9372
F 0.3436 0.5896 0.5896
F 0.0000 0.0000 0.0000
F 0.6564 0.4104 0.4104
F 0.1649 0.9372 0.6170
F 0.8351 0.0628 0.3830
Pd 0.8158 0.2033 0.2033
Pd 0.1842 0.7967 0.7967
Na 0.5000 0.3121 0.6879
Na 0.5000 0.6879 0.3121



[16]
This record from Alexandria describes crystalline Na2PdF5 at its relaxed geometry. The functional is PBE.

Results
As for the space group: P4/mmm, No. 123. The value obtained for the distance to the lowest polymorph of the same formula is 139 meV per atom. As for the total energy: -4.09 eV per atom.

a b c (Å): 4.1368 5.6416 5.6416
angles (deg): 90.00 90.00 90.00
Positions (direct):
Pd 0.0000 0.0000 0.0000
F 0.0000 0.2484 0.2484
F 0.0000 0.7516 0.7516
F 0.5000 0.0000 0.0000
F 0.0000 0.2484 0.7516
F 0.0000 0.7516 0.2484
Na 0.5000 0.0000 0.5000
Na 0.5000 0.5000 0.0000



[17]
This record from Alexandria describes crystalline Na2Pd2F7 at its relaxed geometry. The functional is PBE.

Results
As for the space group: P2_1/c, No. 14. The value obtained for the distance to the lowest polymorph of the same formula is 0 meV per atom. As for the total energy: -4.15 eV per atom.

a b c (Å): 5.5032 5.9751 11.2595
angles (deg): 90.00 90.00 80.55
Positions (direct):
F 0.8652 0.5506 0.2479
F 0.5887 0.3091 0.5679
F 0.5887 0.8091 0.9321
F 0.4113 0.1909 0.0679
F 0.0000 0.5000 0.0000
F 0.4113 0.6909 0.4321
F 0.7115 0.2752 0.8062
F 0.2885 0.2248 0.3062
F 0.0000 0.0000 0.5000
F 0.1348 0.4494 0.7521
F 0.8652 0.0506 0.2521
F 0.7115 0.7752 0.6938
F 0.2885 0.7248 0.1938
F 0.1348 0.9494 0.7479
Pd 0.8585 0.6292 0.8422
Pd 0.1415 0.3708 0.1578
Pd 0.8585 0.1292 0.6578
Pd 0.1415 0.8708 0.3422
Na 0.6419 0.3475 0.3677
Na 0.3581 0.1525 0.8677
Na 0.6419 0.8475 0.1323
Na 0.3581 0.6525 0.6323



[18]
This record from Alexandria describes crystalline NaPd2F8 at its relaxed geometry. The functional is PBE.

Results
As for the space group: P-3m1, No. 164. As for the total energy: -3.68 eV per atom.

a b c (Å): 4.0891 7.0784 7.0784
angles (deg): 120.00 90.00 90.00
Positions (direct):
Na 0.5000 0.0000 0.0000
Pd 0.7543 0.6667 0.3333
Pd 0.2457 0.3333 0.6667
F 0.2423 0.1733 0.8267
F 0.2550 0.6667 0.3333
F 0.7450 0.3333 0.6667
F 0.7577 0.8267 0.6534
F 0.2423 0.1733 0.3466
F 0.7577 0.3466 0.1733
F 0.2423 0.6534 0.8267
F 0.7577 0.8267 0.1733



[19]
This record from Alexandria describes crystalline NaPd4F12 at its relaxed geometry. The functional is PBE.

Results
As for the space group: Im-3, No. 204. As for the total energy: -4.04 eV per atom.

a b c (Å): 6.9255 6.9255 6.9255
angles (deg): 109.47 109.47 109.47
Positions (direct):
F 0.8066 0.7228 0.5295
F 0.2772 0.4705 0.1934
F 0.5295 0.8066 0.7228
F 0.0838 0.8066 0.2772
F 0.4705 0.1934 0.2772
F 0.8066 0.2772 0.0838
F 0.9162 0.1934 0.7228
F 0.2772 0.0838 0.8066
F 0.7228 0.5295 0.8066
F 0.7228 0.9162 0.1934
F 0.1934 0.2772 0.4705
F 0.1934 0.7228 0.9162
Na 0.0000 0.0000 0.0000
Pd 0.5000 0.5000 0.5000
Pd 0.0000 0.5000 0.0000
Pd 0.0000 0.0000 0.5000
Pd 0.5000 0.0000 0.0000



[20]
This record from Alexandria describes crystalline NaPdF3 at its relaxed geometry. The functional is PBE.

Results
As for the space group: P-1, No. 2. As for the total energy: -4.26 eV per atom.

a b c (Å): 6.7916 6.8962 7.5062
angles (deg): 62.94 105.57 88.75
Positions (direct):
Na 0.4891 0.2428 0.9923
Na 0.0000 0.5000 0.5000
Na 0.5109 0.7572 0.0077
Na 0.0000 0.5000 0.0000
F 0.8843 0.1323 0.1524
F 0.4670 0.8940 0.2234
F 0.5330 0.1060 0.7766
F 0.2223 0.7509 0.5091
F 0.6019 0.5755 0.8452
F 0.1157 0.8677 0.8476
F 0.7777 0.2491 0.4909
F 0.1685 0.2793 0.4216
F 0.8864 0.7197 0.1328
F 0.1136 0.2803 0.8672
F 0.3981 0.4245 0.1548
F 0.8315 0.7207 0.5784
Pd 0.0000 0.0000 0.0000
Pd 0.0000 0.0000 0.5000
Pd 0.4747 0.2591 0.4667
Pd 0.5253 0.7409 0.5333



[21]
This record from Alexandria describes crystalline Na2PdF at its relaxed geometry. The functional is PBE.

Results
As for the space group: Fm-3m, No. 225. The value obtained for the distance to the lowest polymorph of the same formula is 328 meV per atom. As for the total energy: -3.11 eV per atom.

a b c (Å): 4.7132 4.7132 4.7132
angles (deg): 60.00 60.00 60.00
Positions (direct):
Na 0.2500 0.2500 0.2500
Na 0.7500 0.7500 0.7500
F 0.0000 0.0000 0.0000
Pd 0.5000 0.5000 0.5000